VASP calculation (GGA-PBE) on crystalline Cu2RuCl at its relaxed geometry.

Values from the calculation:
- Energy: -4.51 eV/atom
- DOS at the Fermi energy: 2.43 states/eV/f.u.
- Space group: Pmm2 (25)
- E_form (uncorrected): 0.316 eV/atom
- Magnetic moment: 1.6 μB/cell
- Crystal system: orthorhombic

Unit cell a=2.9614 b=3.1058 c=6.7169 alpha=89.96 beta=90.00 gamma=90.00
Last column: magnetic moment on the atom in μB.
Atoms (fractional coordinates):
Cl 0.5000 0.7492 0.7489  0.05
Cu 0.0000 0.7505 0.0523  0.03
Cu 0.5000 0.2503 0.2443  0.15
Ru 0.0000 0.7500 0.4545  1.36